{
  "formula": "Sc2VBi",
  "functional": "GGA-PBE",
  "state": "relaxed",
  "final_energy_ev_per_cell": -48.76,
  "e_form_kj_per_mol_atoms": 30.9,
  "vol_a3_per_atom": 23.43,
  "dos_ef_per_ev_cell": 9.8,
  "space_group": "I-42d (122)",
  "lattice": [[-3.906, 3.906, 3.071], [3.906, -3.906, 3.071], [3.906, 3.906, -3.071]],
  "species": ["Sc", "Sc", "Sc", "Sc", "V", "V", "Bi", "Bi"],
  "frac_coords": [[0.096, 0.125, 0.471], [0.375, 0.904, 0.029], [0.654, 0.625, 0.529], [0.875, 0.346, 0.971], [0.000, 0.000, 0.000], [0.750, 0.250, 0.500], [0.250, 0.750, 0.500], [0.500, 0.500, 0.000]]
}